V3FeSn2P6O24 | PBE+U | optimized geometry

Calculated values
As for the density of states at the Fermi level: 0.206 states/eV per atom. The calculation puts the calculated total energy at -261.02 eV/f.u.

Cell: 8.5819 8.5819 9.0732 Å, 61.78 61.78 60.00°
Atoms (fractional coordinates):
O1 0.2830 0.9302 0.7350
O2 0.4951 0.7108 0.9205
V1 0.8528 0.8528 0.4415
O3 0.1315 0.5162 0.0836
O4 0.5782 0.2225 0.7660
O5 0.6306 0.7786 0.5823
O6 0.9350 0.7126 0.2826
O7 0.0086 0.6306 0.5823
P1 0.7501 0.0342 0.7506
O8 0.4332 0.5782 0.7660
O9 0.7786 0.0086 0.5823
O10 0.5162 0.2687 0.0836
O11 0.9786 0.3620 0.4136
O12 0.7126 0.0698 0.2826
O13 0.5803 0.4214 0.2195
P2 0.2505 0.9603 0.2508
O14 0.8736 0.4951 0.9205
P3 0.9603 0.5384 0.2508
V2 0.6469 0.6469 0.0592
Fe1 0.1536 0.1536 0.5392
Sn1 0.4900 0.4900 0.5299
O15 0.7788 0.5803 0.2195
P4 0.4651 0.7501 0.7506
O16 0.7108 0.8736 0.9205
O17 0.0518 0.2830 0.7350
P5 0.0342 0.4651 0.7506
O18 0.4214 0.7788 0.2195
V3 0.3487 0.3487 0.9538
O19 0.2459 0.9786 0.4136
O20 0.2225 0.4332 0.7660
P6 0.5384 0.2505 0.2508
O21 0.2687 0.1315 0.0836
O22 0.9302 0.0518 0.7350
O23 0.0698 0.9350 0.2826
O24 0.3620 0.2459 0.4136
Sn2 0.0123 0.0123 0.9630